[1]
The following is a DFT calculation (GGA-PBE) of a relaxed structure of LaTcMo2.

Structure (CIF):
```
data_LaTcMo2
_chemical_formula_sum 'La1 Tc1 Mo2'
_cell_length_a 3.2046
_cell_length_b 3.2046
_cell_length_c 7.5710
_cell_angle_alpha 90.00
_cell_angle_beta 90.00
_cell_angle_gamma 90.00
_space_group_name_H-M_alt 'P 4 m m'
_space_group_IT_number 99
loop_
_space_group_symop_operation_xyz
'x,y,z'
'-y,x,z'
'-x,-y,z'
'y,-x,z'
'-x,y,z'
'y,x,z'
'x,-y,z'
'-y,-x,z'
loop_
_atom_site_label
_atom_site_type_symbol
_atom_site_fract_x
_atom_site_fract_y
_atom_site_fract_z
La1 La 0.0000 0.0000 0.0000
Tc1 Tc 0.5000 0.5000 0.6915
Mo1 Mo 0.0000 0.0000 0.5052
Mo2 Mo 0.5000 0.5000 0.3114
```

Output
relative energy among the computed polymorphs = 0.0 kJ per mole of atoms
ΔH_f (0 K) = 126 kJ/mol of formula units


[2]
The following is a DFT calculation (GGA-PBE) of a relaxed structure of LaTc2Mo.

Structure (CIF):
```
data_LaTc2Mo
_chemical_formula_sum 'La1 Tc2 Mo1'
_cell_length_a 3.1946
_cell_length_b 3.1946
_cell_length_c 7.5722
_cell_angle_alpha 90.00
_cell_angle_beta 90.00
_cell_angle_gamma 90.00
_space_group_name_H-M_alt 'P 4 m m'
_space_group_IT_number 99
loop_
_space_group_symop_operation_xyz
'x,y,z'
'-y,x,z'
'-x,-y,z'
'y,-x,z'
'-x,y,z'
'y,x,z'
'x,-y,z'
'-y,-x,z'
loop_
_atom_site_label
_atom_site_type_symbol
_atom_site_fract_x
_atom_site_fract_y
_atom_site_fract_z
La1 La 0.0000 0.0000 0.0000
Tc1 Tc 0.0000 0.0000 0.5041
Tc2 Tc 0.5000 0.5000 0.6826
Mo1 Mo 0.5000 0.5000 0.3183
```

Output
ΔH_f (0 K) = 142 kJ/mol of formula units


[3]
The following is a DFT calculation (GGA-PBE) of a relaxed structure of La4TcMo.

Structure (CIF):
```
data_La4TcMo
_chemical_formula_sum 'La16 Tc4 Mo4'
_cell_length_a 8.7257
_cell_length_b 8.7257
_cell_length_c 8.7257
_cell_angle_alpha 90.00
_cell_angle_beta 90.00
_cell_angle_gamma 90.00
_space_group_name_H-M_alt 'F -4 3 m'
_space_group_IT_number 216
_space_group_name_Hall 'F -4 2 3'
loop_
_atom_site_label
_atom_site_type_symbol
_atom_site_fract_x
_atom_site_fract_y
_atom_site_fract_z
La1 La 0.1254 0.1254 0.1254
Tc1 Tc 0.0000 0.0000 0.5000
Mo1 Mo 0.2500 0.2500 0.7500
```

Output
ΔH_f (0 K) = 703 kJ/mol of formula units


[4]
The following is a DFT calculation (GGA-PBE) of a relaxed structure of LaTc2Mo.

Structure (CIF):
```
data_LaTc2Mo
_chemical_formula_sum 'La3 Tc6 Mo3'
_cell_length_a 3.0912
_cell_length_b 3.0912
_cell_length_c 27.1263
_cell_angle_alpha 90.00
_cell_angle_beta 90.00
_cell_angle_gamma 120.00
_space_group_name_H-M_alt 'R -3 m'
_space_group_IT_number 166
_space_group_name_Hall '-R 3 2"'
loop_
_atom_site_label
_atom_site_type_symbol
_atom_site_fract_x
_atom_site_fract_y
_atom_site_fract_z
La1 La 0.0000 0.0000 0.0000
Tc1 Tc 0.0000 0.0000 0.2366
Mo1 Mo 0.0000 0.0000 0.5000
```

Output
ΔH_f (0 K) = 197 kJ/mol of formula units


Q: Number 4 is which compound?
A: LaTc2Mo


Q: The highest ΔH_f (0 K) belongs to which entry?
A: La4TcMo